{"formula": "Dy7CuBr12", "functional": "PBE", "state": "relaxed", "lattice": [[-6.8701, -6.0362, -0.1651], [6.1996, -2.9710, 6.0332], [-3.3225, 7.9474, 3.0757]], "species": ["Br", "Br", "Br", "Br", "Br", "Br", "Br", "Br", "Br", "Br", "Br", "Br", "Dy", "Dy", "Dy", "Dy", "Dy", "Dy", "Dy", "Cu"], "frac_coords": [[0.8391, 0.6061, 0.5236], [0.3151, 0.7773, 0.9246], [0.0754, 0.6849, 0.2227], [0.5236, 0.8391, 0.6061], [0.9246, 0.3151, 0.7773], [0.7773, 0.9246, 0.3151], [0.6061, 0.5236, 0.8391], [0.4764, 0.1609, 0.3939], [0.3939, 0.4764, 0.1609], [0.1609, 0.3939, 0.4764], [0.6849, 0.2227, 0.0754], [0.2227, 0.0754, 0.6849], [0.9624, 0.6791, 0.8875], [0.3209, 0.1125, 0.0376], [0.1125, 0.0376, 0.3209], [0.8875, 0.9624, 0.6791], [0.6791, 0.8875, 0.9624], [0.0376, 0.3209, 0.1125], [0.5000, 0.5000, 0.5000], [0.0000, 0.0000, 0.0000]], "total_energy_ev_per_atom": -4.327, "formation_energy_uncorrected_ev_per_atom": -1.507, "sg": "R-3 (148)"}

***

{"formula": "SrCoSb2", "functional": "PBE", "state": "relaxed", "lattice": [[-0.5787, 4.5446, -3.1137], [-3.5464, 2.3490, 3.5480], [5.3273, -1.5136, 0.1082]], "species": ["Co", "Sr", "Sb", "Sb"], "frac_coords": [[0.7500, 0.2500, 0.5000], [0.2500, 0.7500, 0.5000], [0.5679, 0.5679, 0.0000], [0.9321, 0.9321, 0.0000]], "total_energy_ev_per_atom": -4.467, "formation_energy_uncorrected_ev_per_atom": -0.209, "sg": "Immm (71)"}

***

{"formula": "Co2MoW2", "functional": "PBE", "state": "relaxed", "lattice": [[-2.8434, -1.3016, 0.6749], [0.6941, -2.4922, -1.8820], [1.8088, -5.3048, 4.9727]], "species": ["Co", "Co", "W", "W", "Mo"], "frac_coords": [[0.7500, 0.2500, 0.5000], [0.2500, 0.7500, 0.5000], [0.3914, 0.3914, 0.2172], [0.6086, 0.6086, 0.7828], [0.0000, 0.0000, 0.0000]], "relative_energy_ev_per_atom": 0.3866, "formation_enthalpy_0k_kj_per_mol_atoms": 52.0, "total_energy_ev_per_atom": -9.651, "sg": "I4/mmm (139)"}

***

{"formula": "MgAl2AgSe", "functional": "PBE", "state": "relaxed", "lattice": [[5.1914, 0.0000, 0.0000], [0.0000, 4.8895, 0.0000], [0.0000, 0.0000, 5.1914]], "species": ["Al", "Al", "Ag", "Mg", "Se"], "frac_coords": [[0.5000, 0.0000, 0.0000], [0.0000, 0.0000, 0.5000], [0.0000, 0.5000, 0.0000], [0.0000, 0.0000, 0.0000], [0.5000, 0.5000, 0.5000]], "total_energy_ev_per_atom": -2.365, "formation_energy_uncorrected_ev_per_atom": 0.718, "sg": "P4/mmm (123)"}

***

Total magnetic moment (μB per atom)
0.000; 0.001; 0.000; 0.000